The following is a DFT calculation (PBE) of a relaxed structure of HfGa2Os2.

Structure (POSCAR):
```
HfGa2Os2
1.0
7.2333 0.0000 0.0000
0.0000 7.2333 0.0000
0.0000 0.0000 3.0717
Hf Ga Os
2 4 4
direct
0.0000 0.0000 0.0000 Hf
0.5000 0.5000 0.0000 Hf
0.1567 0.3433 0.5000 Ga
0.3433 0.8433 0.5000 Ga
0.6567 0.1567 0.5000 Ga
0.8433 0.6567 0.5000 Ga
0.1408 0.6408 0.0000 Os
0.3592 0.1408 0.0000 Os
0.6408 0.8592 0.0000 Os
0.8592 0.3592 0.0000 Os
```

Properties
DFT total energy ... -7.805 eV per atom
Polymorph energy (0 for the lowest one) ... 55 meV per atom
Formation energy from the elements ... -10.73 kJ/mol of atoms

The following is a DFT calculation (PBE) of a relaxed structure of HfGaOs.

Structure (POSCAR):
```
HfGaOs
1.0
-1.5911 1.5911 4.9712
1.5911 -1.5911 4.9712
1.5911 1.5911 -4.9712
Hf Ga Os
1 1 1
direct
0.0000 0.0000 0.0000 Hf
0.6951 0.6951 0.0000 Ga
0.3339 0.3339 0.0000 Os
```

Properties
DFT total energy ... -8.413 eV per atom
Formation energy from the elements ... -33.11 kJ/mol of atoms